Entry from the Alexandria database: a relaxed Sc2PPb crystal (GGA-PBE). Values from VASP.

* relative energy among the computed polymorphs: 0.554 eV per atom
* SG: I4/mmm
* formation enthalpy at 0 K: -0.4338 eV/atom
* calculated volume: 83.60 Å³/cell
* calculated total energy: -0.2161 hartree per atom

Structure (Quantum ESPRESSO input):
```
&SYSTEM
  ibrav = 0, nat = 4, ntyp = 3
/
ATOMIC_SPECIES
Sc 44.96 Sc.upf
P 30.97 P.upf
Pb 207.20 Pb.upf
CELL_PARAMETERS angstrom
-2.312 2.312 3.909
2.312 -2.312 3.909
2.312 2.312 -3.909
ATOMIC_POSITIONS angstrom
Sc 2.312 0.000 1.955
Sc 0.000 2.312 1.955
P 0.000 0.000 0.000
Pb 0.000 0.000 3.909
```

---

Entry from the Alexandria database: a relaxed LaCuOs2 crystal (GGA-PBE). Values from VASP.

* relative energy among the computed polymorphs: 0.473 eV per atom
* SG: Cmmm
* formation enthalpy at 0 K: 0.7300 eV/atom
* calculated volume: 67.22 Å³/cell
* calculated total energy: -0.2624 hartree per atom

Structure (Quantum ESPRESSO input):
```
&SYSTEM
  ibrav = 0, nat = 4, ntyp = 3
/
ATOMIC_SPECIES
La 138.91 La.upf
Cu 63.55 Cu.upf
Os 190.23 Os.upf
CELL_PARAMETERS angstrom
1.562 -2.384 0.000
1.562 2.384 0.000
0.000 0.000 9.025
ATOMIC_POSITIONS angstrom
La 0.000 0.000 0.000
Cu 0.000 0.000 4.512
Os 1.562 0.000 2.490
Os 1.562 0.000 6.534
```

---

Entry from the Alexandria database: a relaxed AcTb2Ce crystal (GGA-PBE). Values from VASP.

* relative energy among the computed polymorphs: 0.022 eV per atom
* SG: P4/mmm
* formation enthalpy at 0 K: 0.1116 eV/atom
* calculated volume: 137.83 Å³/cell
* calculated total energy: -0.1732 hartree per atom

Structure (Quantum ESPRESSO input):
```
&SYSTEM
  ibrav = 0, nat = 4, ntyp = 3
/
ATOMIC_SPECIES
Ac 227.00 Ac.upf
Tb 158.93 Tb.upf
Ce 140.12 Ce.upf
CELL_PARAMETERS angstrom
5.210 0.000 0.000
0.000 5.210 0.000
0.000 0.000 5.078
ATOMIC_POSITIONS angstrom
Ac 0.000 0.000 0.000
Tb 0.000 2.605 2.539
Tb 2.605 0.000 2.539
Ce 2.605 2.605 0.000
```

---

Entry from the Alexandria database: a relaxed Ac2TmMnSe5 crystal (GGA-PBE). Values from VASP.

* SG: Cmc2_1
* uncorrected formation energy: -14.80 eV/f.u.
* calculated volume: 479.53 Å³/cell
* calculated total energy: -0.2208 hartree per atom

Structure (Quantum ESPRESSO input):
```
&SYSTEM
  ibrav = 0, nat = 18, ntyp = 4
/
ATOMIC_SPECIES
Ac 227.00 Ac.upf
Tm 168.93 Tm.upf
Mn 54.94 Mn.upf
Se 78.96 Se.upf
CELL_PARAMETERS angstrom
2.114 -8.870 0.000
2.114 8.870 0.000
0.000 0.000 12.784
ATOMIC_POSITIONS angstrom
Ac 2.114 6.710 6.392
Ac 2.114 6.700 10.984
Ac 2.114 -6.710 0.000
Ac 2.114 -6.700 4.592
Tm 2.114 5.575 2.346
Tm 2.114 -5.575 8.738
Mn 2.114 1.007 7.656
Mn 2.114 -1.007 1.264
Se 2.114 8.409 2.468
Se 2.114 3.491 10.694
Se 2.114 3.430 6.772
Se 2.114 2.730 2.290
Se 2.114 0.041 11.811
Se 2.114 -0.041 5.419
Se 2.114 -2.730 8.682
Se 2.114 -3.430 0.379
Se 2.114 -3.491 4.302
Se 2.114 -8.409 8.860
```

---

Entry from the Alexandria database: a relaxed NaAg6Pd2 crystal (GGA-PBE). Values from VASP.

* relative energy among the computed polymorphs: 0.000 eV per atom
* SG: C2/m
* formation enthalpy at 0 K: 0.0796 eV/atom
* calculated volume: 173.69 Å³/cell
* calculated total energy: -0.1147 hartree per atom

Structure (Quantum ESPRESSO input):
```
&SYSTEM
  ibrav = 0, nat = 9, ntyp = 3
/
ATOMIC_SPECIES
Na 22.99 Na.upf
Ag 107.87 Ag.upf
Pd 106.42 Pd.upf
CELL_PARAMETERS angstrom
7.127 -2.793 0.000
7.127 2.793 0.000
-1.474 0.000 4.363
ATOMIC_POSITIONS angstrom
Na 0.000 0.000 0.000
Ag 4.988 1.402 1.700
Ag 2.605 0.000 0.893
Ag 7.793 1.402 2.663
Ag 4.988 -1.402 1.700
Ag 10.175 0.000 3.470
Ag 7.793 -1.402 2.663
Pd 3.301 0.000 3.559
Pd 9.479 0.000 0.803
```

---

Entry from the Alexandria database: a relaxed LiTaOs2 crystal (GGA-PBE). Values from VASP.

* SG: Cmm2
* formation enthalpy at 0 K: 0.4382 eV/atom
* calculated volume: 63.03 Å³/cell
* calculated total energy: -0.3167 hartree per atom

Structure (Quantum ESPRESSO input):
```
&SYSTEM
  ibrav = 0, nat = 4, ntyp = 3
/
ATOMIC_SPECIES
Li 6.94 Li.upf
Ta 180.95 Ta.upf
Os 190.23 Os.upf
CELL_PARAMETERS angstrom
1.425 -2.318 0.000
1.425 2.318 0.000
0.000 0.000 9.543
ATOMIC_POSITIONS angstrom
Li 0.000 0.000 0.000
Ta 1.425 0.000 2.631
Os 0.000 0.000 4.985
Os 1.425 0.000 7.242
```

---

Entry from the Alexandria database: a relaxed Re3Cl crystal (GGA-PBE). Values from VASP.

* relative energy among the computed polymorphs: 0.663 eV per atom
* SG: P4/mmm
* uncorrected formation energy: 4.32 eV/f.u.
* calculated volume: 60.47 Å³/cell
* calculated total energy: -0.3204 hartree per atom

Structure (Quantum ESPRESSO input):
```
&SYSTEM
  ibrav = 0, nat = 4, ntyp = 2
/
ATOMIC_SPECIES
Re 186.21 Re.upf
Cl 35.45 Cl.upf
CELL_PARAMETERS angstrom
4.585 0.000 0.000
0.000 4.585 0.000
0.000 0.000 2.876
ATOMIC_POSITIONS angstrom
Re 0.000 0.000 0.000
Re 0.000 2.293 1.438
Re 2.293 0.000 1.438
Cl 2.293 2.293 0.000
```

---

Entry from the Alexandria database: a relaxed KCoSi2 crystal (GGA-PBE). Values from VASP.

* relative energy among the computed polymorphs: 0.279 eV per atom
* SG: R-3m
* uncorrected formation energy: 1.04 eV/f.u.
* calculated volume: 69.05 Å³/cell
* calculated total energy: -0.1654 hartree per atom

Structure (Quantum ESPRESSO input):
```
&SYSTEM
  ibrav = 0, nat = 4, ntyp = 3
/
ATOMIC_SPECIES
K 39.10 K.upf
Co 58.93 Co.upf
Si 28.09 Si.upf
CELL_PARAMETERS angstrom
1.478 0.853 9.129
-1.478 0.853 9.129
0.000 -1.706 9.129
ATOMIC_POSITIONS angstrom
K 0.000 0.000 0.000
Co 0.000 0.000 13.693
Si 0.000 0.000 6.261
Si 0.000 0.000 21.125
```

---

Entry from the Alexandria database: a relaxed BaIn2Tc crystal (GGA-PBE). Values from VASP.

* relative energy among the computed polymorphs: 0.322 eV per atom
* SG: I4/mmm
* formation enthalpy at 0 K: 0.4539 eV/atom
* calculated volume: 103.68 Å³/cell
* calculated total energy: -0.1465 hartree per atom

Structure (Quantum ESPRESSO input):
```
&SYSTEM
  ibrav = 0, nat = 4, ntyp = 3
/
ATOMIC_SPECIES
Ba 137.33 Ba.upf
In 114.82 In.upf
Tc 98.00 Tc.upf
CELL_PARAMETERS angstrom
-2.432 2.432 4.382
2.432 -2.432 4.382
2.432 2.432 -4.382
ATOMIC_POSITIONS angstrom
Ba 0.000 0.000 0.000
In 2.432 0.000 2.191
In 0.000 2.432 2.191
Tc 0.000 0.000 4.382
```

---

Entry from the Alexandria database: a relaxed Ti4ZnO8 crystal (GGA-PBE). Values from VASP.

* relative energy among the computed polymorphs: 0.042 eV per atom
* SG: Cm
* uncorrected formation energy: -34.29 eV/f.u.
* calculated volume: 159.61 Å³/cell
* calculated total energy: -0.3019 hartree per atom

Structure (Quantum ESPRESSO input):
```
&SYSTEM
  ibrav = 0, nat = 13, ntyp = 3
/
ATOMIC_SPECIES
Ti 47.87 Ti.upf
Zn 65.41 Zn.upf
O 16.00 O.upf
CELL_PARAMETERS angstrom
7.309 -1.477 0.000
7.309 1.477 0.000
-6.251 0.000 7.392
ATOMIC_POSITIONS angstrom
Ti 0.000 0.000 0.000
Ti 0.494 0.000 4.683
Ti 5.350 0.000 2.589
Ti 9.855 0.000 1.968
Zn 3.256 0.000 4.728
O -3.077 0.000 3.643
O -1.089 0.000 1.595
O 1.766 0.000 3.126
O 3.713 0.000 1.427
O 0.039 0.000 6.546
O 8.561 0.000 0.618
O 6.684 0.000 4.058
O 9.264 0.000 5.471
```

---

Entry from the Alexandria database: a relaxed YSe2Br crystal (GGA-PBE). Values from VASP.

* relative energy among the computed polymorphs: 0.087 eV per atom
* SG: Imm2
* uncorrected formation energy: -4.70 eV/f.u.
* calculated volume: 138.67 Å³/cell
* calculated total energy: -0.1820 hartree per atom

Structure (Quantum ESPRESSO input):
```
&SYSTEM
  ibrav = 0, nat = 4, ntyp = 3
/
ATOMIC_SPECIES
Y 88.91 Y.upf
Se 78.96 Se.upf
Br 79.90 Br.upf
CELL_PARAMETERS angstrom
-1.983 2.438 7.168
1.983 -2.438 7.168
1.983 2.438 -7.168
ATOMIC_POSITIONS angstrom
Y 0.000 0.000 0.000
Se 0.000 0.000 6.230
Se 0.000 2.438 5.232
Br 1.983 0.000 2.059
```

---

Entry from the Alexandria database: a relaxed YBe3Mo crystal (GGA-PBE). Values from VASP.

* relative energy among the computed polymorphs: 0.000 eV per atom
* SG: Pm-3m
* formation enthalpy at 0 K: 0.4565 eV/atom
* calculated volume: 82.84 Å³/cell
* calculated total energy: -0.1925 hartree per atom

Structure (Quantum ESPRESSO input):
```
&SYSTEM
  ibrav = 0, nat = 5, ntyp = 3
/
ATOMIC_SPECIES
Y 88.91 Y.upf
Be 9.01 Be.upf
Mo 95.94 Mo.upf
CELL_PARAMETERS angstrom
4.359 0.000 0.000
0.000 4.359 0.000
0.000 0.000 4.359
ATOMIC_POSITIONS angstrom
Y 0.000 0.000 0.000
Be 0.000 2.180 2.180
Be 2.180 0.000 2.180
Be 2.180 2.180 0.000
Mo 2.180 2.180 2.180
```